1.
Density functional theory data (GGA-PBE) for an optimized crystal structure of FeTeIr2.

Computed properties:
- formation energy (no corrections) (eV/atom) = 0.30

a b c (Å): 3.0487 3.6540 5.8039
angles (deg): 90.00 90.00 90.00
Last column: nearest neighbours and their distance in Å.
Sites, in units of the cell vectors:
Fe 0.5000 0.5000 0.7500  8 Ir 2.72, 2 Te 2.90
Ir 0.0000 0.0000 0.9774  1 Ir 2.64, 4 Fe 2.72, 4 Te 2.86
Ir 0.0000 0.0000 0.5226  1 Ir 2.64, 4 Fe 2.72, 4 Te 2.86
Te 0.5000 0.5000 0.2500  8 Ir 2.86, 2 Fe 2.90, 2 Te 3.05

---

2.
Density functional theory data (GGA-PBE) for an optimized crystal structure of K2LiZn.

Computed properties:
- formation enthalpy at 0 K (eV/atom) = 0.208

a b c (Å): 5.9099 5.9099 5.9099
angles (deg): 60.00 60.00 60.00
Last column: nearest neighbours and their distance in Å.
Sites, in units of the cell vectors:
K 0.0000 0.0000 0.0000  4 Zn 3.62, 4 K 3.62
K 0.2500 0.2500 0.2500  4 Li 3.62, 4 K 3.62
Li 0.5000 0.5000 0.5000  4 K 3.62, 4 Zn 3.62
Zn 0.7500 0.7500 0.7500  4 K 3.62, 4 Li 3.62

---

3.
Density functional theory data (GGA-PBE) for an optimized crystal structure of RbNa2Ho.

Computed properties:
- formation enthalpy at 0 K (eV/atom) = 0.402

a b c (Å): 3.7038 3.7038 14.6474
angles (deg): 82.74 82.74 60.00
Last column: nearest neighbours and their distance in Å.
Sites, in units of the cell vectors:
Na 0.0789 0.0789 0.7632  1 Ho 3.43, 6 Na 3.70
Na 0.9211 0.9211 0.2368  1 Ho 3.43, 6 Na 3.70
Ho 0.0000 0.0000 0.0000  2 Na 3.43, 6 Ho 3.70
Rb 0.5000 0.5000 0.5000  6 Rb 3.70

---

Fermi-level density of states
In order: 3.1 3.1 4.0
Unit: states/eV/f.u.